No. 1
Ca2NiP: optimized geometry, GGA-PBE.

a b c (Å): 4.1182 4.1182 7.4728
angles (deg): 80.39 80.39 47.08
Positions (direct):
Ca (0.9976, 0.9976, 0.0050)
Ca (0.5024, 0.5024, 0.4950)
Ni (0.7500, 0.7500, 0.7500)
P (0.2500, 0.2500, 0.2500)

Properties
For the size of the total moment, the calculation gives 0.00 μB per formula unit. The calculated formation energy is -0.257 eV per atom. For the calculated density, the calculation gives 3.1 g/cm³. As for the space group: C2/m (12).

No. 2
Ca2Ni2P: optimized geometry, GGA-PBE.

a b c (Å): 5.2598 5.2598 7.5510
angles (deg): 81.28 81.28 62.99
Positions (direct):
Ca (0.4552, 0.2304, 0.1588)
Ca (0.7696, 0.5448, 0.3412)
Ca (0.5448, 0.7696, 0.8412)
Ca (0.2304, 0.4552, 0.6588)
Ni (0.7586, 0.0094, 0.5034)
Ni (0.9906, 0.2414, 0.9966)
Ni (0.2414, 0.9906, 0.4966)
Ni (0.0094, 0.7586, 0.0034)
P (0.0856, 0.9144, 0.2500)
P (0.9144, 0.0856, 0.7500)

Properties
For the size of the total moment, the calculation gives 0.00 μB per formula unit. The calculated formation energy is -0.558 eV per atom. For the calculated density, the calculation gives 4.1 g/cm³. For the distance to the lowest polymorph of the same formula, the calculation gives 0.0000 eV per atom. As for the space group: C2/c (15).